Here is a geometry-optimized LaIrPb3 structure from Alexandria. Energies are from PBEsol.

CIF file:
```
data_LaIrPb3
_space_group_name_H-M_alt 'P m -3 m'
_space_group_IT_number 221
_space_group_name_Hall '-P 4 2 3'
_cell_length_a 5.8360
_cell_length_b 5.8360
_cell_length_c 5.8360
_cell_angle_alpha 90.00
_cell_angle_beta 90.00
_cell_angle_gamma 90.00
loop_
_atom_site_label
_atom_site_fract_x
_atom_site_fract_y
_atom_site_fract_z
La1 0.0000 0.0000 0.0000
Ir1 0.5000 0.5000 0.5000
Pb1 0.0000 0.0000 0.5000
```

## Properties
Its magnetic moment is 1.36 Bohr magnetons per cell. For the density of states at the Fermi level, the calculation gives 2.240 states/eV/atom. For the formation energy from the elements, the calculation gives 1850 meV/atom.